The following is a PBE-GGA calculation of an optimized crystal structure of Tb6Mg2Ag, from Alexandria.

Computed properties:
calculated volume	531	Å³ per cell
raw total energy	-3.7079	eV/atom

Unit cell a=6.286 b=9.501 c=9.040 alpha=90.00 beta=79.88 gamma=90.00
Atoms (fractional coordinates):
Tb: 0.876 0.964 0.195
Tb: 0.905 0.671 0.532
Tb: 0.919 0.688 0.943
Tb: 0.581 0.188 0.557
Tb: 0.595 0.171 0.968
Tb: 0.624 0.464 0.305
Tb: 0.124 0.036 0.805
Tb: 0.095 0.329 0.468
Tb: 0.081 0.312 0.057
Tb: 0.419 0.812 0.443
Tb: 0.405 0.829 0.032
Tb: 0.376 0.536 0.695
Mg: 0.846 0.404 0.775
Mg: 0.654 0.904 0.725
Mg: 0.346 0.096 0.275
Mg: 0.154 0.596 0.225
Ag: 0.500 0.500 0.000
Ag: 0.000 0.000 0.500



The following is a PBE-GGA calculation of an optimized crystal structure of Be2FeRh, from Alexandria.

Computed properties:
calculated volume	41	Å³ per cell
raw total energy	-6.1488	eV/atom

Unit cell a=3.564 b=2.746 c=4.399 alpha=71.98 beta=90.00 gamma=90.00
Atoms (fractional coordinates):
Be: 0.000 0.200 0.974
Be: 0.500 0.050 0.277
Rh: 0.500 0.774 0.826
Fe: 0.000 0.477 0.424



The following is a PBE-GGA calculation of an optimized crystal structure of TaNbPCl2, from Alexandria.

Computed properties:
energy relative to the lowest polymorph listed for this composition	0.231	eV per atom
calculated volume	113	Å³ per cell
formation energy from raw total energies	3.57	eV per formula unit

Unit cell a=4.681 b=4.681 c=5.175 alpha=90.00 beta=90.00 gamma=90.00
Atoms (fractional coordinates):
P: 0.000 0.000 0.500
Nb: 0.000 0.000 0.000
Cl: 0.000 0.500 0.000
Cl: 0.500 0.000 0.000
Ta: 0.500 0.500 0.500



The following is a PBE-GGA calculation of an optimized crystal structure of Re2PtAu, from Alexandria.

Computed properties:
energy relative to the lowest polymorph listed for this composition	0.269	eV per atom
calculated volume	63	Å³ per cell

Unit cell a=2.741 b=2.741 c=8.332 alpha=90.00 beta=90.00 gamma=90.01
Atoms (fractional coordinates):
Au: 0.500 0.500 0.250
Pt: 0.500 0.500 0.750
Re: 0.000 0.000 0.992
Re: 0.000 0.000 0.508



The following is a PBE-GGA calculation of an optimized crystal structure of HfZr2Se, from Alexandria.

Computed properties:
calculated volume	88	Å³ per cell
formation energy from raw total energies	-2.11	eV per formula unit

Unit cell a=3.398 b=3.398 c=9.027 alpha=79.15 beta=79.15 gamma=60.00
Atoms (fractional coordinates):
Hf: 0.499 0.499 0.502
Zr: 0.075 0.075 0.776
Zr: 0.259 0.259 0.224
Se: 0.667 0.667 0.998



The following is a PBE-GGA calculation of an optimized crystal structure of Zr2OsPt2, from Alexandria.

Computed properties:
energy relative to the lowest polymorph listed for this composition	0.201	eV per atom
calculated volume	190	Å³ per cell

Unit cell a=7.401 b=7.401 c=3.461 alpha=90.00 beta=90.00 gamma=90.00
Atoms (fractional coordinates):
Os: 0.000 0.000 0.000
Os: 0.500 0.500 0.000
Zr: 0.333 0.833 0.000
Zr: 0.833 0.667 0.000
Zr: 0.667 0.167 0.000
Zr: 0.167 0.333 0.000
Pt: 0.134 0.634 0.500
Pt: 0.634 0.866 0.500
Pt: 0.866 0.366 0.500
Pt: 0.366 0.134 0.500



The following is a PBE-GGA calculation of an optimized crystal structure of BeSiF6, from Alexandria.

Computed properties:
calculated volume	78	Å³ per cell
formation energy from raw total energies	-24.23	eV per formula unit

Unit cell a=4.736 b=4.736 c=4.853 alpha=60.80 beta=60.79 gamma=60.00
Atoms (fractional coordinates):
Be: 0.500 0.500 0.500
Si: 0.000 0.000 0.000
F: 0.163 0.329 0.754
F: 0.755 0.163 0.754
F: 0.671 0.245 0.246
F: 0.245 0.837 0.246
F: 0.837 0.671 0.246
F: 0.329 0.755 0.754



The following is a PBE-GGA calculation of an optimized crystal structure of CsLiBiSe, from Alexandria.

Computed properties:
calculated volume	284	Å³ per cell
formation energy from raw total energies	-3.15	eV per formula unit

Unit cell a=4.477 b=4.477 c=14.167 alpha=90.00 beta=90.00 gamma=90.00
Atoms (fractional coordinates):
Cs: 0.750 0.750 0.222
Cs: 0.250 0.250 0.778
Li: 0.750 0.250 0.000
Li: 0.250 0.750 0.000
Bi: 0.250 0.750 0.500
Bi: 0.750 0.250 0.500
Se: 0.750 0.750 0.904
Se: 0.250 0.250 0.096



The following is a PBE-GGA calculation of an optimized crystal structure of BaTiInF6, from Alexandria.

Computed properties:
calculated volume	146	Å³ per cell
formation energy from raw total energies	-28.05	eV per formula unit

Unit cell a=6.098 b=5.955 c=4.711 alpha=89.23 beta=90.00 gamma=58.85
Atoms (fractional coordinates):
Ba: 0.670 0.657 0.248
Ti: 0.332 0.335 0.577
In: 0.990 0.002 0.789
F: 0.142 0.201 0.351
F: 0.462 0.027 0.818
F: 0.532 0.484 0.771
F: 0.984 0.548 0.770
F: 0.224 0.626 0.317
F: 0.664 0.119 0.359



The following is a PBE-GGA calculation of an optimized crystal structure of Pa2TcN, from Alexandria.

Computed properties:
energy relative to the lowest polymorph listed for this composition	0.000	eV per atom
calculated volume	73	Å³ per cell
formation energy from raw total energies	-1.56	eV per formula unit

Unit cell a=3.218 b=3.218 c=8.329 alpha=78.86 beta=78.86 gamma=60.00
Atoms (fractional coordinates):
Pa: 0.102 0.102 0.694
Pa: 0.898 0.898 0.306
Tc: 0.000 0.000 0.000
N: 0.500 0.500 0.500



The following is a PBE-GGA calculation of an optimized crystal structure of ZrZnH, from Alexandria.

Computed properties:
energy relative to the lowest polymorph listed for this composition	0.052	eV per atom
calculated volume	86	Å³ per cell

Unit cell a=3.263 b=5.638 c=5.693 alpha=60.07 beta=72.89 gamma=89.10
Atoms (fractional coordinates):
H: 0.680 0.040 0.144
H: 0.320 0.960 0.856
Zn: 0.983 0.747 0.520
Zn: 0.017 0.253 0.480
Zr: 0.281 0.277 0.934
Zr: 0.719 0.723 0.066



The following is a PBE-GGA calculation of an optimized crystal structure of GeSbNO2, from Alexandria.

Computed properties:
calculated volume	56	Å³ per cell
formation energy from raw total energies	-1.97	eV per formula unit

Unit cell a=3.771 b=3.771 c=3.972 alpha=90.00 beta=90.00 gamma=90.00
Atoms (fractional coordinates):
Sb: 0.500 0.500 0.500
Ge: 0.000 0.000 0.000
O: 0.000 0.500 0.000
O: 0.500 0.000 0.000
N: 0.000 0.000 0.500